Record 1
CaY2MgOs: relaxed, PBE.

Lattice parameters (Å, degrees): 5.3686 5.3686 5.3176 90.00 90.00 90.00
Element x y z (fractional)
Mg (0.0000, 0.0000, 0.5000)
Y (0.5000, 0.0000, 0.0000)
Y (0.0000, 0.5000, 0.0000)
Ca (0.5000, 0.5000, 0.5000)
Os (0.0000, 0.0000, 0.0000)

Results
**Space-group type**: P4/mmm (123)
**Formation energy**: 0.027 eV/atom

***

Record 2
Ca2MgP: relaxed, PBE.

Lattice parameters (Å, degrees): 4.0893 4.4494 6.2649 69.17 90.00 90.00
Element x y z (fractional)
Ca (0.5000, 0.2869, 0.3016)
Ca (0.0000, 0.9870, 0.9006)
P (0.5000, 0.5412, 0.7922)
Mg (0.0000, 0.6849, 0.5056)

Results
**Space-group type**: Amm2 (38)
**Formation energy**: -0.599 eV/atom
**Energy above the lowest structure with this stoichiometry**: 0.000 eV per atom

***

Record 3
Ca2MgP: relaxed, PBE.

Lattice parameters (Å, degrees): 4.1709 4.1709 8.8240 76.42 76.42 59.95
Element x y z (fractional)
Ca (0.4738, 0.4738, 0.5776)
Ca (0.0262, 0.0262, 0.9224)
Mg (0.2500, 0.2500, 0.2500)
P (0.7500, 0.7500, 0.7500)

Results
**Space-group type**: C2/m (12)
**Formation energy**: -0.547 eV/atom
**Energy above the lowest structure with this stoichiometry**: 0.052 eV per atom

***

Record 4
Ca2MgP: relaxed, PBE.

Lattice parameters (Å, degrees): 6.8956 6.8956 6.8956 149.15 139.64 51.65
Element x y z (fractional)
Ca (0.7565, 0.2565, 0.5000)
Ca (0.0637, 0.0637, 0.0000)
Mg (0.4230, 0.4230, 0.0000)
P (0.2568, 0.7568, 0.5000)

Results
**Space-group type**: Imm2 (44)
**Formation energy**: -0.495 eV/atom
**Energy above the lowest structure with this stoichiometry**: 0.103 eV per atom

***

Record 5
Ca2MgP: relaxed, PBE.

Lattice parameters (Å, degrees): 5.7941 5.7941 5.7941 136.79 124.51 72.82
Element x y z (fractional)
Ca (0.4571, 0.4571, 0.0000)
Ca (0.0429, 0.0429, 0.0000)
P (0.2500, 0.7500, 0.5000)
Mg (0.7500, 0.2500, 0.5000)

Results
**Space-group type**: Immm (71)
**Formation energy**: -0.363 eV/atom
**Energy above the lowest structure with this stoichiometry**: 0.236 eV per atom

***

Record 6
CaMgP2: relaxed, PBE.

Lattice parameters (Å, degrees): 3.5785 3.5952 7.0139 59.16 90.00 90.00
Element x y z (fractional)
Mg (0.5000, 0.7500, 0.7500)
P (0.0000, 0.4470, 0.5524)
P (0.0000, 0.0530, 0.9476)
Ca (0.5000, 0.2500, 0.2500)

Results
**Space-group type**: Pmmm (47)
**Formation energy**: -0.507 eV/atom
**Energy above the lowest structure with this stoichiometry**: 0.129 eV per atom

***

Record 7
Ca2MgP: relaxed, PBE.

Lattice parameters (Å, degrees): 6.1744 6.1744 6.1744 138.53 138.53 60.09
Last column: magnetic moment on the atom in μB.
Element x y z (fractional)
Mg (0.5000, 0.5000, 0.0000)  0.01
P (0.7500, 0.2500, 0.5000)  0.03
Ca (0.2500, 0.7500, 0.5000)  0.05
Ca (0.0000, 0.0000, 0.0000)  0.06

Results
**Space-group type**: I-4m2 (119)
**Formation energy**: -0.289 eV/atom
**Energy above the lowest structure with this stoichiometry**: 0.309 eV per atom

***

Record 8
CaMg2P2: relaxed, PBE.

Lattice parameters (Å, degrees): 7.6115 7.6115 3.5204 90.00 90.00 90.00
Element x y z (fractional)
P (0.6647, 0.1647, 0.0000)
P (0.8353, 0.6647, 0.0000)
P (0.1647, 0.3353, 0.0000)
P (0.3353, 0.8353, 0.0000)
Mg (0.3639, 0.1361, 0.5000)
Mg (0.8639, 0.3639, 0.5000)
Mg (0.6361, 0.8639, 0.5000)
Mg (0.1361, 0.6361, 0.5000)
Ca (0.5000, 0.5000, 0.0000)
Ca (0.0000, 0.0000, 0.0000)

Results
**Space-group type**: P4/mbm (127)
**Formation energy**: -0.491 eV/atom

***

Record 9
Ca2MgP: relaxed, PBE.

Lattice parameters (Å, degrees): 4.8835 4.8835 4.1286 90.00 90.00 90.00
Element x y z (fractional)
Ca (0.5000, 0.5000, 0.0000)
Ca (0.0000, 0.0000, 0.0000)
P (0.0000, 0.5000, 0.5000)
Mg (0.5000, 0.0000, 0.5000)

Results
**Space-group type**: P4/mmm (123)
**Formation energy**: -0.456 eV/atom
**Energy above the lowest structure with this stoichiometry**: 0.143 eV per atom

***

Record 10
Ca2MgP: relaxed, PBE.

Lattice parameters (Å, degrees): 8.2951 8.2951 6.8675 52.85 52.85 90.00
Element x y z (fractional)
Mg (0.2500, 0.7500, 0.5000)
Mg (0.5000, 0.5000, 0.0000)
P (0.0000, 0.0000, 0.0000)
P (0.7500, 0.2500, 0.5000)
Ca (0.6880, 0.1250, 0.2500)
Ca (0.8750, 0.9380, 0.7500)
Ca (0.3750, 0.3120, 0.7500)
Ca (0.0620, 0.6250, 0.2500)

Results
**Space-group type**: I-42d (122)
**Formation energy**: -0.316 eV/atom
**Energy above the lowest structure with this stoichiometry**: 0.283 eV per atom

***

Record 11
Ca2MgP: relaxed, PBE.

Lattice parameters (Å, degrees): 3.9887 3.9887 6.5163 90.00 90.00 90.00
Element x y z (fractional)
P (0.5000, 0.5000, 0.7520)
Ca (0.0000, 0.0000, 0.9482)
Ca (0.5000, 0.5000, 0.2876)
Mg (0.0000, 0.0000, 0.5122)

Results
**Space-group type**: P4mm (99)
**Formation energy**: -0.265 eV/atom
**Energy above the lowest structure with this stoichiometry**: 0.333 eV per atom

***

Record 12
CaMgP2: relaxed, PBE.

Lattice parameters (Å, degrees): 4.9559 4.9559 8.8733 73.78 73.78 90.00
Element x y z (fractional)
P (0.8750, 0.7078, 0.7500)
P (0.2922, 0.6250, 0.2500)
P (0.3750, 0.5422, 0.7500)
P (0.4578, 0.1250, 0.2500)
Ca (0.0000, 0.0000, 0.0000)
Ca (0.7500, 0.2500, 0.5000)
Mg (0.5000, 0.5000, 0.0000)
Mg (0.2500, 0.7500, 0.5000)

Results
**Space-group type**: I-42d (122)
**Formation energy**: -0.368 eV/atom
**Energy above the lowest structure with this stoichiometry**: 0.268 eV per atom